# 1
## OsPb2NF (PBE-GGA)

Data for OsPb2NF after structural relaxation.

Cell: 5.021 5.021 3.580 Å, 90.00 90.00 90.00°
Sites, in units of the cell vectors:
Os1 0.000 0.000 0.000
Pb1 0.000 0.500 0.500
Pb2 0.500 0.000 0.500
N1 0.500 0.500 0.000
F1 0.500 0.500 0.500

## Properties
- Energy relative to the elements, uncorrected: 5.8 eV per formula unit
- Energy above the most stable polymorph in this dataset: 270 meV/atom

# 2
## Cs3Na2PmI8 (PBE-GGA)

Data for Cs3Na2PmI8 after structural relaxation.

Cell: 8.698 8.698 11.516 Å, 90.00 90.00 120.00°
Sites, in units of the cell vectors:
Cs1 0.000 0.000 0.000
Cs2 0.333 0.667 0.613
Cs3 0.667 0.333 0.387
Na1 0.333 0.667 0.181
Na2 0.667 0.333 0.819
Pm1 0.000 0.000 0.500
I1 0.164 0.328 0.338
I2 0.164 0.836 0.338
I3 0.328 0.164 0.662
I4 0.333 0.667 0.930
I5 0.667 0.333 0.070
I6 0.672 0.836 0.338
I7 0.836 0.164 0.662
I8 0.836 0.672 0.662

## Properties
- Energy relative to the elements, uncorrected: -19.3 eV per formula unit

# 3
## La6ErMg2 (PBE-GGA)

Data for La6ErMg2 after structural relaxation.

Cell: 6.208 6.208 8.928 Å, 90.00 90.00 119.22°
Sites, in units of the cell vectors:
La1 0.174 0.342 0.664
La2 0.177 0.823 0.000
La3 0.342 0.174 0.336
La4 0.658 0.826 0.336
La5 0.823 0.177 0.000
La6 0.826 0.658 0.664
Er1 0.500 0.500 0.000
Mg1 0.000 0.500 0.330
Mg2 0.500 0.000 0.670

## Properties
- Formation energy: 35 meV/atom

# 4
## CoSnBi2Pd (PBE-GGA)

Data for CoSnBi2Pd after structural relaxation.

Cell: 5.778 5.778 4.927 Å, 90.00 90.00 90.00°
Sites, in units of the cell vectors:
Co1 0.000 0.000 0.000
Sn1 0.500 0.500 0.500
Bi1 0.000 0.500 0.500
Bi2 0.500 0.000 0.500
Pd1 0.500 0.500 0.000

## Properties
- Formation energy: 1174 meV/atom

# 5
## Li2MnCuCl6 (PBE-GGA)

Data for Li2MnCuCl6 after structural relaxation.

Cell: 6.350 6.352 7.042 Å, 63.24 89.92 60.02°
Sites, in units of the cell vectors:
Li1 0.000 0.000 0.000
Li2 0.463 0.073 0.392
Mn1 0.666 0.668 0.998
Cu1 0.249 0.502 0.746
Cl1 0.048 0.206 0.207
Cl2 0.272 0.146 0.736
Cl3 0.413 0.538 0.207
Cl4 0.582 0.535 0.736
Cl5 0.744 0.842 0.207
Cl6 0.883 0.845 0.736

## Properties
- Energy relative to the elements, uncorrected: -11.8 eV per formula unit

# 6
## Hf2NbF (PBE-GGA)

Data for Hf2NbF after structural relaxation.

Cell: 4.708 4.708 4.708 Å, 60.00 60.00 60.00°
Sites, in units of the cell vectors:
Hf1 0.250 0.250 0.250
Hf2 0.750 0.750 0.750
Nb1 0.000 0.000 0.000
F1 0.500 0.500 0.500

## Properties
- Energy relative to the elements, uncorrected: -0.2 eV per formula unit
- Energy above the most stable polymorph in this dataset: 431 meV/atom

# 7
## NdHo6Tm2 (PBE-GGA)

Data for NdHo6Tm2 after structural relaxation.

Cell: 3.537 9.327 9.340 Å, 69.08 79.24 79.19°
Sites, in units of the cell vectors:
Nd1 0.000 0.000 0.000
Ho1 0.111 0.444 0.334
Ho2 0.332 0.335 0.001
Ho3 0.443 0.777 0.337
Ho4 0.557 0.223 0.663
Ho5 0.668 0.665 0.999
Ho6 0.889 0.556 0.666
Tm1 0.224 0.888 0.665
Tm2 0.776 0.112 0.335

## Properties
- Energy above the most stable polymorph in this dataset: 0 meV/atom
- Formation energy: 21 meV/atom

# 8
## NaEuZnAu (PBE-GGA)

Data for NaEuZnAu after structural relaxation.

Cell: 5.176 5.176 5.176 Å, 60.00 60.00 60.00°
Sites, in units of the cell vectors:
Na1 0.000 0.000 0.000
Eu1 0.500 0.500 0.500
Zn1 0.750 0.750 0.750
Au1 0.250 0.250 0.250

## Properties
- Formation energy: -319 meV/atom

# 9
## La2NdSmO (PBE-GGA)

Data for La2NdSmO after structural relaxation.

Cell: 5.252 5.252 4.962 Å, 90.00 90.00 90.00°
Sites, in units of the cell vectors:
La1 0.000 0.500 0.000
La2 0.500 0.000 0.000
Nd1 0.000 0.000 0.500
Sm1 0.500 0.500 0.500
O1 0.500 0.500 0.000

## Properties
- Energy relative to the elements, uncorrected: -5.6 eV per formula unit

# 10
## Cs2Hg2RhI4 (PBE-GGA)

Data for Cs2Hg2RhI4 after structural relaxation.

Cell: 7.709 7.709 7.709 Å, 108.61 108.61 111.20°
Sites, in units of the cell vectors:
Cs1 0.250 0.750 0.500
Cs2 0.750 0.250 0.500
Hg1 0.176 0.176 0.000
Hg2 0.824 0.824 0.000
Rh1 0.500 0.500 0.000
I1 0.288 0.288 0.575
I2 0.288 0.712 0.000
I3 0.712 0.288 0.000
I4 0.712 0.712 0.425

## Properties
- Energy relative to the elements, uncorrected: -6.6 eV per formula unit

# 11
## SrY3I (PBE-GGA)

Data for SrY3I after structural relaxation.

Cell: 5.878 5.878 5.878 Å, 90.00 90.00 90.00°
Sites, in units of the cell vectors:
Sr1 0.000 0.000 0.000
Y1 0.000 0.000 0.500
Y2 0.000 0.500 0.000
Y3 0.500 0.000 0.000
I1 0.500 0.500 0.500

## Properties
- Energy relative to the elements, uncorrected: 5.2 eV per formula unit
- Energy above the most stable polymorph in this dataset: 956 meV/atom

# 12
## SrEu2Ga (PBE-GGA)

Data for SrEu2Ga after structural relaxation.

Cell: 6.899 6.899 6.899 Å, 45.71 45.71 45.71°
Sites, in units of the cell vectors:
Sr1 0.000 0.000 0.000
Eu1 0.216 0.216 0.216
Eu2 0.784 0.784 0.784
Ga1 0.500 0.500 0.500

## Properties
- Energy above the most stable polymorph in this dataset: 193 meV/atom
- Formation energy: -41 meV/atom

# 13
## Na2SrHfO4 (PBE-GGA)

Data for Na2SrHfO4 after structural relaxation.

Cell: 5.994 3.333 6.133 Å, 90.00 112.01 90.00°
Sites, in units of the cell vectors:
Na1 0.000 0.000 0.000
Na2 0.000 0.500 0.500
Sr1 0.500 0.000 0.500
Hf1 0.500 0.500 0.000
O1 0.292 0.000 0.789
O2 0.293 0.500 0.204
O3 0.707 0.500 0.796
O4 0.708 0.000 0.211

## Properties
- Energy relative to the elements, uncorrected: -20.5 eV per formula unit

# 14
## BaCu2F4 (PBE-GGA)

Data for BaCu2F4 after structural relaxation.

Cell: 5.234 5.234 5.234 Å, 101.93 101.93 125.91°
Sites, in units of the cell vectors:
Ba1 0.000 0.000 0.000
Cu1 0.250 0.750 0.500
Cu2 0.750 0.250 0.500
F1 0.225 0.358 0.583
F2 0.358 0.775 0.134
F3 0.642 0.225 0.866
F4 0.775 0.642 0.417

## Properties
- Energy relative to the elements, uncorrected: -14.0 eV per formula unit

# 15
## Li6SmCu2 (PBE-GGA)

Data for Li6SmCu2 after structural relaxation.

Cell: 3.930 3.930 10.917 Å, 90.00 90.00 90.00°
Sites, in units of the cell vectors:
Li1 0.000 0.000 0.000
Li2 0.000 0.500 0.222
Li3 0.000 0.500 0.778
Li4 0.500 0.000 0.222
Li5 0.500 0.000 0.778
Li6 0.500 0.500 0.000
Sm1 0.000 0.000 0.500
Cu1 0.500 0.500 0.386
Cu2 0.500 0.500 0.614

## Properties
- Formation energy: -48 meV/atom

# 16
## YEr2ThS4 (PBE-GGA)

Data for YEr2ThS4 after structural relaxation.

Cell: 6.799 3.891 6.843 Å, 90.00 109.08 90.00°
Sites, in units of the cell vectors:
Y1 0.000 0.000 0.000
Er1 0.000 0.500 0.500
Er2 0.500 0.000 0.500
Th1 0.500 0.500 0.000
S1 0.240 0.000 0.736
S2 0.248 0.500 0.260
S3 0.752 0.500 0.740
S4 0.760 0.000 0.264

## Properties
- Energy relative to the elements, uncorrected: -15.4 eV per formula unit

# 17
## Hg2Ru (PBE-GGA)

Data for Hg2Ru after structural relaxation.

Cell: 5.568 5.568 5.568 Å, 60.00 60.00 60.00°
Sites, in units of the cell vectors:
Hg1 0.000 0.000 0.000
Hg2 0.000 0.000 0.500
Hg3 0.000 0.500 0.000
Hg4 0.500 0.000 0.000
Ru1 0.375 0.375 0.375
Ru2 0.625 0.625 0.625

## Properties
- Formation energy: 1004 meV/atom

# 18
## Ta7Si6 (PBE-GGA)

Data for Ta7Si6 after structural relaxation.

Cell: 9.366 9.366 9.366 Å, 33.94 33.94 33.94°
Sites, in units of the cell vectors:
Ta1 0.000 0.000 0.000
Ta2 0.082 0.082 0.581
Ta3 0.082 0.581 0.082
Ta4 0.419 0.918 0.918
Ta5 0.581 0.082 0.082
Ta6 0.918 0.419 0.918
Ta7 0.918 0.918 0.419
Si1 0.167 0.167 0.167
Si2 0.342 0.342 0.342
Si3 0.453 0.453 0.453
Si4 0.547 0.547 0.547
Si5 0.658 0.658 0.658
Si6 0.833 0.833 0.833

## Properties
- Energy relative to the elements, uncorrected: 2.1 eV per formula unit

# 19
## Sb2PtWI (PBE-GGA)

Data for Sb2PtWI after structural relaxation.

Cell: 5.196 5.196 5.405 Å, 90.00 90.00 90.00°
Sites, in units of the cell vectors:
Sb1 0.000 0.500 0.000
Sb2 0.500 0.000 0.000
Pt1 0.000 0.000 0.000
W1 0.500 0.500 0.500
I1 0.000 0.000 0.500

## Properties
- Energy relative to the elements, uncorrected: 6.9 eV per formula unit
- Energy above the most stable polymorph in this dataset: 257 meV/atom

# 20
## SbWSe2 (PBE-GGA)

Data for SbWSe2 after structural relaxation.

Cell: 3.074 3.074 10.367 Å, 90.00 90.00 90.00°
Sites, in units of the cell vectors:
Sb1 0.000 0.000 0.000
W1 0.000 0.000 0.500
Se1 0.500 0.500 0.349
Se2 0.500 0.500 0.651

## Properties
- Energy relative to the elements, uncorrected: 0.1 eV per formula unit